(1)
Below is a relaxed TbPmN crystal, with properties calculated at the PBE-GGA level.

Lattice parameters (Å, degrees): 4.732 4.732 7.800 90.00 90.00 90.00
Space group I4mm (No. 107)
Unique sites:
Tb  0.000  0.000  0.000 x2
Pm  0.000  0.000  0.535 x2
N  0.000  0.000  0.263 x2

Output
ΔE to the lowest computed polymorph = 1143 meV/atom
Energy relative to the elements, uncorrected = 188 meV per atom
Total magnetic moment = 0.000 μB per formula unit
Raw total energy = -5.7137 eV per atom

(2)
Below is a relaxed TbPm8N6 crystal, with properties calculated at the PBE-GGA level.

Lattice parameters (Å, degrees): 6.2563 6.2563 27.4492 90.00 90.00 120.00
Space group R-3 (No. 148, hexagonal axes)
Unique sites:
Tb  0.0000  0.0000  0.0000 x3
Pm  0.0000  0.0000  0.3333 x6
Pm  0.0004  0.3333  0.2314 x18
N  0.0000  0.3276  0.0554 x18

Output
Energy relative to the elements, uncorrected = -1168 meV per atom
Total magnetic moment = 1.114 μB per formula unit
Raw total energy = -7.3408 eV per atom

(3)
Below is a relaxed Tb3Pm2N4 crystal, with properties calculated at the PBE-GGA level.

Lattice parameters (Å, degrees): 11.808 3.532 8.783 90.00 119.34 90.00
Space group C2/m (No. 12)
Unique sites:
Tb  0.000  0.000  0.000 x2
Tb  0.207  0.000  0.815 x4
Pm  0.105  0.500  0.386 x4
N  0.105  0.500  0.907 x4
N  0.198  0.000  0.296 x4

Output
Energy relative to the elements, uncorrected = -1395 meV per atom
Total magnetic moment = 0.004 μB per formula unit
Raw total energy = -7.6942 eV per atom

(4)
Below is a relaxed TbPmN2 crystal, with properties calculated at the PBE-GGA level.

Lattice parameters (Å, degrees): 3.4939 3.4939 18.1801 90.00 90.00 120.00
Space group R3m (No. 160, hexagonal axes)
Unique sites:
Tb  0.0000  0.0000  0.0000 x3
Pm  0.0000  0.0000  0.1704 x3
N  0.0000  0.0000  0.5803 x3
N  0.0000  0.0000  0.7449 x3

Output
ΔE to the lowest computed polymorph = 240 meV/atom
Energy relative to the elements, uncorrected = -1300 meV per atom
Total magnetic moment = 0.000 μB per formula unit
Raw total energy = -7.8083 eV per atom

(5)
Below is a relaxed Tb4PmN5 crystal, with properties calculated at the PBE-GGA level.

Lattice parameters (Å, degrees): 7.872 7.872 4.986 90.00 90.00 90.00
Space group I4 (No. 79)
Unique sites:
Tb  0.100  0.699  0.000 x8
Pm  0.000  0.000  0.500 x2
N  0.000  0.000  0.996 x2
N  0.102  0.696  0.493 x8

Output
Energy relative to the elements, uncorrected = -1610 meV per atom
Total magnetic moment = 0.000 μB per formula unit
Raw total energy = -8.1002 eV per atom

(6)
Below is a relaxed TbPmN2 crystal, with properties calculated at the PBE-GGA level.

Lattice parameters (Å, degrees): 3.5560 3.5560 17.4289 90.00 90.00 120.00
Space group R-3m (No. 166, hexagonal axes)
Unique sites:
Tb  0.0000  0.0000  0.0000 x3
Pm  0.0000  0.0000  0.5000 x3
N  0.0000  0.0000  0.2524 x6

Output
ΔE to the lowest computed polymorph = 0 meV/atom
Energy relative to the elements, uncorrected = -1541 meV per atom
Total magnetic moment = 0.000 μB per formula unit
Raw total energy = -8.0487 eV per atom

What is the formula in the third record? Tb3Pm2N4